! LiCo2GeO4 (PBE with a Hubbard U, relaxed); values from VASP
! Magnetic moment ... 5.0 μB per cell
! E_tot ... -47.2 eV per formula unit
&SYSTEM
  ibrav = 0, nat = 8, ntyp = 4
/
ATOMIC_SPECIES
Li 6.94 Li.upf
Co 58.93 Co.upf
Ge 72.64 Ge.upf
O 16.00 O.upf
CELL_PARAMETERS angstrom
-3.170 0.076 3.194
2.585 -2.966 2.618
2.385 4.867 -1.085
ATOMIC_POSITIONS crystal
Li 0.979 0.493 0.968
Co 0.537 0.982 0.001
Co 0.184 0.207 0.444
Ge 0.740 0.746 0.474
O 0.623 0.616 0.689
O 0.847 0.415 0.235
O 0.385 0.845 0.237
O 0.092 0.084 0.726